1.
This record from Alexandria describes AsPbSe3 after structural relaxation. The functional is PBE-GGA.

Structure (CIF):
```
data_AsPbSe3
_chemical_formula_sum 'As1 Pb1 Se3'
_symmetry_space_group_name_H-M 'P m -3 m'
_symmetry_Int_Tables_number 221
_symmetry_space_group_name_Hall '-P 4 2 3'
_cell_length_a 5.388
_cell_length_b 5.388
_cell_length_c 5.388
_cell_angle_alpha 90.00
_cell_angle_beta 90.00
_cell_angle_gamma 90.00
loop_
_atom_site_label
_atom_site_type_symbol
_atom_site_fract_x
_atom_site_fract_y
_atom_site_fract_z
As1 As 0.000 0.000 0.000
Pb1 Pb 0.500 0.500 0.500
Se1 Se 0.000 0.500 0.500
```

The calculation puts the total DFT energy (no corrections) at -2.88 eV/atom. For the theoretical density, the calculation gives 5510 kg/m³. As for the size of the total moment: 0.01 μB per cell.

---

2.
This record from Alexandria describes As2PbSe after structural relaxation. The functional is PBE-GGA.

Structure (CIF):
```
data_As2PbSe
_chemical_formula_sum 'As8 Pb4 Se4'
_symmetry_space_group_name_H-M 'F -4 3 m'
_symmetry_Int_Tables_number 216
_symmetry_space_group_name_Hall 'F -4 2 3'
_cell_length_a 7.160
_cell_length_b 7.160
_cell_length_c 7.160
_cell_angle_alpha 90.00
_cell_angle_beta 90.00
_cell_angle_gamma 90.00
loop_
_atom_site_label
_atom_site_type_symbol
_atom_site_fract_x
_atom_site_fract_y
_atom_site_fract_z
As1 As 0.000 0.000 0.000
As2 As 0.250 0.250 0.250
Pb1 Pb 0.000 0.000 0.500
Se1 Se 0.250 0.250 0.750
```

The calculation puts the total DFT energy (no corrections) at -3.83 eV/atom. For the theoretical density, the calculation gives 7889 kg/m³. As for the size of the total moment: 0.00 μB per cell.

---

3.
This record from Alexandria describes AsPbSe after structural relaxation. The functional is PBE-GGA.

Structure (CIF):
```
data_AsPbSe
_chemical_formula_sum 'As1 Pb1 Se1'
_symmetry_space_group_name_H-M 'P 3 m 1'
_symmetry_Int_Tables_number 156
_symmetry_space_group_name_Hall 'P 3 -2"'
_cell_length_a 4.2198
_cell_length_b 4.2198
_cell_length_c 5.0368
_cell_angle_alpha 90.00
_cell_angle_beta 90.00
_cell_angle_gamma 120.00
loop_
_atom_site_label
_atom_site_type_symbol
_atom_site_fract_x
_atom_site_fract_y
_atom_site_fract_z
As1 As 0.0000 0.0000 0.0000
Pb1 Pb 0.6667 0.3333 0.3376
Se1 Se 0.3333 0.6667 0.7009
```

The calculation puts the total DFT energy (no corrections) at -3.87 eV/atom. For the theoretical density, the calculation gives 7719 kg/m³. As for the size of the total moment: 0.00 μB per cell.

---

4.
This record from Alexandria describes As2PbSe after structural relaxation. The functional is PBE-GGA.

Structure (CIF):
```
data_As2PbSe
_chemical_formula_sum 'As4 Pb2 Se2'
_symmetry_space_group_name_H-M 'C m m m'
_symmetry_Int_Tables_number 65
_symmetry_space_group_name_Hall '-C 2 2'
_cell_length_a 3.663
_cell_length_b 5.611
_cell_length_c 9.086
_cell_angle_alpha 90.00
_cell_angle_beta 90.00
_cell_angle_gamma 90.00
loop_
_atom_site_label
_atom_site_type_symbol
_atom_site_fract_x
_atom_site_fract_y
_atom_site_fract_z
As1 As 0.000 0.000 0.217
Pb1 Pb 0.000 0.500 0.500
Se1 Se 0.000 0.500 0.000
```

The calculation puts the total DFT energy (no corrections) at -3.74 eV/atom. For the theoretical density, the calculation gives 7755 kg/m³. As for the size of the total moment: 0.00 μB per cell.

---

5.
This record from Alexandria describes AsPb4Se after structural relaxation. The functional is PBE-GGA.

Structure (CIF):
```
data_AsPb4Se
_chemical_formula_sum 'As4 Pb16 Se4'
_symmetry_space_group_name_H-M 'F -4 3 m'
_symmetry_Int_Tables_number 216
_symmetry_space_group_name_Hall 'F -4 2 3'
_cell_length_a 9.025
_cell_length_b 9.025
_cell_length_c 9.025
_cell_angle_alpha 90.00
_cell_angle_beta 90.00
_cell_angle_gamma 90.00
loop_
_atom_site_label
_atom_site_type_symbol
_atom_site_fract_x
_atom_site_fract_y
_atom_site_fract_z
As1 As 0.000 0.000 0.000
Pb1 Pb 0.125 0.125 0.625
Se1 Se 0.250 0.250 0.250
```

The calculation puts the total DFT energy (no corrections) at -3.42 eV/atom. For the theoretical density, the calculation gives 8879 kg/m³. As for the size of the total moment: 0.00 μB per cell.

---

6.
This record from Alexandria describes AsPb2Se2 after structural relaxation. The functional is PBE-GGA.

Structure (CIF):
```
data_AsPb2Se2
_chemical_formula_sum 'As2 Pb4 Se4'
_symmetry_space_group_name_H-M 'P 4/m b m'
_symmetry_Int_Tables_number 127
_symmetry_space_group_name_Hall '-P 4 2ab'
_cell_length_a 8.277
_cell_length_b 8.277
_cell_length_c 3.966
_cell_angle_alpha 90.00
_cell_angle_beta 90.00
_cell_angle_gamma 90.00
loop_
_atom_site_label
_atom_site_type_symbol
_atom_site_fract_x
_atom_site_fract_y
_atom_site_fract_z
As1 As 0.000 0.000 0.000
Pb1 Pb 0.158 0.342 0.000
Se1 Se 0.158 0.658 0.500
```

The calculation puts the total DFT energy (no corrections) at -3.76 eV/atom. For the theoretical density, the calculation gives 7911 kg/m³. As for the size of the total moment: 0.00 μB per cell.